Entry 1:
Below is TcPtNO after structural relaxation, with properties calculated at the GGA-PBE level.

```
8
Lattice="-2.881 0.129 -2.499 -2.260 -1.770 2.514 -1.755 5.521 2.310" Properties=species:S:1:pos:R:3 pbc="T T T"
N -2.544 3.534 0.202
N -1.782 1.166 2.115
Tc -0.878 2.761 1.155
Tc -3.448 1.940 1.163
Pt -1.751 1.042 -0.840
Pt -2.574 3.659 3.158
O 0.000 0.000 0.000
O -2.571 -0.821 0.008
```

Space-group type ... P4/nmm (129)
Distance to the lowest polymorph of the same formula ... 0.436 eV per atom

=====

Entry 2:
Below is TcSnNO after structural relaxation, with properties calculated at the GGA-PBE level.

```
8
Lattice="4.048 0.000 0.000 0.000 4.048 0.000 0.000 0.000 8.667" Properties=species:S:1:pos:R:3 pbc="T T T"
N 1.012 1.012 6.298
N 3.036 3.036 2.368
Sn 1.012 3.036 4.333
Sn 3.036 1.012 4.333
O 1.012 3.036 0.000
O 3.036 1.012 0.000
Tc 1.012 1.012 7.988
Tc 3.036 3.036 0.679
```

Space-group type ... P4/nmm (129)
Distance to the lowest polymorph of the same formula ... 0.409 eV per atom

=====

Entry 3:
Below is ErAsN2O after structural relaxation, with properties calculated at the GGA-PBE level.

```
5
Lattice="3.776 0.000 0.000 0.000 3.779 0.000 -0.037 0.000 3.803" Properties=species:S:1:pos:R:3 pbc="T T T"
N -0.010 0.000 1.765
N 1.933 0.000 3.762
Er 3.663 1.890 0.128
As 1.835 0.000 1.923
O 1.933 1.890 1.779
```

Electronic total energy ... -6.793 eV/atom
Space-group type ... Pm (6)

=====

Entry 4:
Below is GdTmCd2 after structural relaxation, with properties calculated at the GGA-PBE level.

```
8
Lattice="5.367 0.000 0.000 0.000 5.945 3.273 0.000 -5.945 3.273" Properties=species:S:1:pos:R:3 pbc="T T T"
Cd 4.025 0.993 1.678
Cd 1.342 -3.890 3.193
Cd 1.342 -0.993 1.678
Cd 4.025 3.890 3.193
Tm 1.342 -0.942 5.071
Tm 4.025 0.942 5.071
Gd 1.342 1.937 3.151
Gd 4.025 -1.937 3.151
```

Energy of formation from the pure elements ... -0.73 eV per formula unit
Space-group type ... Ama2 (40)
Distance to the lowest polymorph of the same formula ... 0.140 eV per atom

=====

Entry 5:
Below is GdSbOs after structural relaxation, with properties calculated at the GGA-PBE level.

```
3
Lattice="-0.884 3.075 3.561 -4.497 0.730 1.471 -1.415 -1.629 4.273" Properties=species:S:1:pos:R:3 pbc="T T T"
Gd 0.000 0.000 0.000
Sb -5.097 1.631 6.979
Os -1.699 0.544 2.326
```

Space-group type ... F-43m (216)
Distance to the lowest polymorph of the same formula ... 0.859 eV per atom

=====

Entry 6:
Below is TbMgHg6 after structural relaxation, with properties calculated at the GGA-PBE level.

```
8
Lattice="6.579 0.000 0.000 -3.290 5.698 0.000 0.000 0.000 4.997" Properties=species:S:1:pos:R:3 pbc="T T T"
Hg 3.290 0.013 2.499
Hg 3.290 3.840 0.000
Hg 1.656 2.843 2.499
Hg 4.971 0.929 0.000
Hg 4.923 2.843 2.499
Hg 1.609 0.929 0.000
Mg 0.000 0.000 2.499
Tb 0.000 3.799 0.000
```

Electronic total energy ... -1.199 eV/atom
Space-group type ... P-6m2 (187)